--- w ---
Below is a geometry-optimized AcTbTm structure, with properties calculated at the PBE-GGA level.

a = 5.842 Å, b = 5.842 Å, c = 3.567 Å
α = 90.00°, β = 90.00°, γ = 120.00°
Positions (direct):
Ac1 0.000 0.000 0.000
Tb1 0.667 0.333 0.500
Tm1 0.333 0.667 0.998

Output
magnetic moment	0.0	μB per cell
space-group type	P3m1
D(E_F)	4.78	states/eV per cell

***

--- x ---
Below is a geometry-optimized AcTbTm structure, with properties calculated at the PBE-GGA level.

a = 4.620 Å, b = 4.620 Å, c = 6.034 Å
α = 90.00°, β = 90.00°, γ = 90.00°
Positions (direct):
Ac1 0.000 0.000 0.000
Tb1 0.500 0.500 0.500
Tm1 0.500 0.500 0.000

Output
magnetic moment	0.0	μB per cell
space-group type	P4/mmm
D(E_F)	4.56	states/eV per cell

***

It is w that is the most stable of them.

***

--- w ---
Below is a geometry-optimized AcTbTm structure, with properties calculated at the PBE-GGA level.

a = 8.084 Å, b = 8.084 Å, c = 8.084 Å
α = 153.38°, β = 153.38°, γ = 38.00°
Positions (direct):
Ac1 0.000 0.000 0.000
Tb1 0.675 0.675 0.000
Tm1 0.328 0.328 0.000

Output
magnetic moment	0.0	μB per cell
space-group type	I4mm
D(E_F)	4.16	states/eV per cell

***

--- x ---
Below is a geometry-optimized AcTbTm structure, with properties calculated at the PBE-GGA level.

a = 6.475 Å, b = 11.972 Å, c = 6.184 Å
α = 90.00°, β = 118.30°, γ = 90.00°
Positions (direct):
Ac1 0.170 0.133 0.157
Ac2 0.170 0.367 0.657
Ac3 0.830 0.633 0.343
Ac4 0.830 0.867 0.843
Tb1 0.187 0.615 0.015
Tb2 0.187 0.885 0.515
Tb3 0.813 0.115 0.485
Tb4 0.813 0.385 0.985
Tm1 0.483 0.617 0.660
Tm2 0.483 0.883 0.160
Tm3 0.517 0.117 0.840
Tm4 0.517 0.383 0.340

Output
magnetic moment	0.0	μB per cell
space-group type	P2_1/c
D(E_F)	15.18	states/eV per cell

***

It is w that is the most stable of them.

***

--- w ---
Below is a geometry-optimized AcTb4Y structure, with properties calculated at the PBE-GGA level.

a = 6.727 Å, b = 8.541 Å, c = 8.662 Å
α = 102.50°, β = 109.65°, γ = 109.56°
Positions (direct):
Ac1 0.241 0.400 0.255
Ac2 0.759 0.600 0.745
Tb1 0.243 0.744 0.589
Tb2 0.245 0.141 0.522
Tb3 0.251 0.480 0.852
Tb4 0.261 0.077 0.920
Tb5 0.739 0.923 0.080
Tb6 0.749 0.520 0.148
Tb7 0.755 0.859 0.478
Tb8 0.757 0.256 0.411
Y1 0.257 0.823 0.193
Y2 0.743 0.177 0.807

Output
magnetic moment	0.0	μB per cell
space-group type	P-1
D(E_F)	18.42	states/eV per cell

***

--- x ---
Below is a geometry-optimized AcTb4Y structure, with properties calculated at the PBE-GGA level.

a = 7.453 Å, b = 6.000 Å, c = 9.309 Å
α = 90.00°, β = 90.00°, γ = 90.00°
Positions (direct):
Ac1 0.250 0.000 0.189
Ac2 0.750 0.000 0.811
Tb1 0.000 0.000 0.500
Tb2 0.006 0.500 0.815
Tb3 0.250 0.500 0.497
Tb4 0.494 0.500 0.815
Tb5 0.500 0.000 0.500
Tb6 0.506 0.500 0.185
Tb7 0.750 0.500 0.503
Tb8 0.994 0.500 0.185
Y1 0.250 0.000 0.816
Y2 0.750 0.000 0.184

Output
magnetic moment	0.0	μB per cell
space-group type	Pmma
D(E_F)	19.33	states/eV per cell

***

--- y ---
Below is a geometry-optimized AcTb4Y structure, with properties calculated at the PBE-GGA level.

a = 6.705 Å, b = 6.705 Å, c = 6.705 Å
α = 60.00°, β = 60.00°, γ = 60.00°
Positions (direct):
Ac1 0.000 0.000 0.000
Tb1 0.128 0.624 0.624
Tb2 0.624 0.128 0.624
Tb3 0.624 0.624 0.128
Tb4 0.624 0.624 0.624
Y1 0.250 0.250 0.250

Output
magnetic moment	0.5	μB per cell
space-group type	F-43m
D(E_F)	12.27	states/eV per cell

***

It is w that is the most stable of them.

***

--- w ---
Below is a geometry-optimized Ac2Tb5Y12 structure, with properties calculated at the PBE-GGA level.

a = 9.504 Å, b = 9.504 Å, c = 8.542 Å
α = 91.63°, β = 91.63°, γ = 57.36°
Positions (direct):
Ac1 0.210 0.790 0.000
Ac2 0.790 0.210 0.000
Tb1 0.000 0.000 0.500
Tb2 0.244 0.244 0.548
Tb3 0.353 0.353 0.055
Tb4 0.647 0.647 0.945
Tb5 0.756 0.756 0.452
Y1 0.014 0.601 0.782
Y2 0.167 0.167 0.871
Y3 0.183 0.597 0.390
Y4 0.399 0.986 0.218
Y5 0.403 0.817 0.610
Y6 0.446 0.446 0.714
Y7 0.554 0.554 0.286
Y8 0.597 0.183 0.390
Y9 0.601 0.014 0.782
Y10 0.817 0.403 0.610
Y11 0.833 0.833 0.129
Y12 0.986 0.399 0.218

Output
magnetic moment	0.0	μB per cell
space-group type	C2/m
D(E_F)	30.77	states/eV per cell

***

--- x ---
Below is a geometry-optimized Ac2Tb5Y12 structure, with properties calculated at the PBE-GGA level.

a = 7.155 Å, b = 7.202 Å, c = 14.517 Å
α = 92.25°, β = 96.96°, γ = 118.85°
Positions (direct):
Ac1 0.246 0.247 0.497
Ac2 0.754 0.753 0.503
Tb1 0.000 0.500 0.000
Tb2 0.248 0.748 0.497
Tb3 0.409 0.861 0.898
Tb4 0.591 0.139 0.102
Tb5 0.752 0.252 0.503
Y1 0.008 0.367 0.285
Y2 0.008 0.862 0.294
Y3 0.112 0.122 0.103
Y4 0.402 0.353 0.903
Y5 0.486 0.633 0.702
Y6 0.490 0.128 0.705
Y7 0.510 0.872 0.295
Y8 0.514 0.367 0.298
Y9 0.598 0.647 0.097
Y10 0.888 0.878 0.897
Y11 0.992 0.138 0.706
Y12 0.992 0.633 0.715

Output
magnetic moment	0.0	μB per cell
space-group type	P-1
D(E_F)	26.56	states/eV per cell

***

It is x that is the most stable of them.

***

--- w ---
Below is a geometry-optimized AcTb3Y structure, with properties calculated at the PBE-GGA level.

a = 9.490 Å, b = 9.490 Å, c = 8.632 Å
α = 111.27°, β = 111.27°, γ = 30.21°
Positions (direct):
Ac1 0.115 0.115 0.149
Ac2 0.885 0.885 0.851
Tb1 0.057 0.057 0.697
Tb2 0.227 0.227 0.627
Tb3 0.416 0.416 0.555
Tb4 0.584 0.584 0.445
Tb5 0.773 0.773 0.373
Tb6 0.943 0.943 0.303
Y1 0.312 0.312 0.111
Y2 0.688 0.688 0.889

Output
magnetic moment	0.0	μB per cell
space-group type	C2/m
D(E_F)	15.18	states/eV per cell

***

--- x ---
Below is a geometry-optimized AcTb3Y structure, with properties calculated at the PBE-GGA level.

a = 11.412 Å, b = 11.412 Å, c = 6.728 Å
α = 93.55°, β = 93.55°, γ = 52.73°
Positions (direct):
Ac1 0.108 0.892 0.750
Ac2 0.253 0.747 0.250
Ac3 0.747 0.253 0.750
Ac4 0.892 0.108 0.250
Tb1 0.051 0.241 0.605
Tb2 0.091 0.579 0.914
Tb3 0.241 0.051 0.105
Tb4 0.371 0.478 0.607
Tb5 0.421 0.909 0.586
Tb6 0.478 0.371 0.107
Tb7 0.522 0.629 0.893
Tb8 0.579 0.091 0.414
Tb9 0.629 0.522 0.393
Tb10 0.759 0.949 0.895
Tb11 0.909 0.421 0.086
Tb12 0.949 0.759 0.395
Y1 0.204 0.360 0.340
Y2 0.360 0.204 0.840
Y3 0.640 0.796 0.160
Y4 0.796 0.640 0.660

Output
magnetic moment	0.0	μB per cell
space-group type	C2/c
D(E_F)	26.04	states/eV per cell

***

It is x that is the most stable of them.

***

--- w ---
Below is a geometry-optimized AcTb7Y2 structure, with properties calculated at the PBE-GGA level.

a = 9.218 Å, b = 9.218 Å, c = 5.755 Å
α = 90.00°, β = 90.00°, γ = 123.34°
Positions (direct):
Ac1 0.000 0.000 0.000
Tb1 0.061 0.293 0.500
Tb2 0.224 0.776 0.000
Tb3 0.293 0.061 0.500
Tb4 0.500 0.500 0.500
Tb5 0.707 0.939 0.500
Tb6 0.776 0.224 0.000
Tb7 0.939 0.707 0.500
Y1 0.295 0.705 0.500
Y2 0.705 0.295 0.500

Output
magnetic moment	0.0	μB per cell
space-group type	Cmmm
D(E_F)	14.19	states/eV per cell

***

--- x ---
Below is a geometry-optimized AcTb7Y2 structure, with properties calculated at the PBE-GGA level.

a = 9.609 Å, b = 9.609 Å, c = 9.609 Å
α = 146.66°, β = 136.43°, γ = 55.94°
Positions (direct):
Ac1 0.000 0.000 0.000
Tb1 0.143 0.389 0.754
Tb2 0.203 0.203 0.000
Tb3 0.365 0.611 0.754
Tb4 0.500 0.000 0.500
Tb5 0.635 0.389 0.246
Tb6 0.797 0.797 0.000
Tb7 0.857 0.611 0.246
Y1 0.300 0.800 0.500
Y2 0.700 0.200 0.500

Output
magnetic moment	0.0	μB per cell
space-group type	Immm
D(E_F)	17.06	states/eV per cell

***

It is x that is the most stable of them.

***

--- w ---
Below is a geometry-optimized Ac2TbY structure, with properties calculated at the PBE-GGA level.

a = 5.473 Å, b = 5.473 Å, c = 5.072 Å
α = 90.00°, β = 90.00°, γ = 90.00°
Positions (direct):
Ac1 0.000 0.500 0.000
Ac2 0.500 0.000 0.000
Tb1 0.000 0.000 0.500
Y1 0.500 0.500 0.500

Output
magnetic moment	0.0	μB per cell
space-group type	P4/mmm
D(E_F)	5.63	states/eV per cell

***

--- x ---
Below is a geometry-optimized Ac2TbY structure, with properties calculated at the PBE-GGA level.

a = 6.370 Å, b = 6.370 Å, c = 3.884 Å
α = 90.00°, β = 90.00°, γ = 104.93°
Positions (direct):
Ac1 0.000 0.500 0.000
Ac2 0.500 0.000 0.000
Tb1 0.000 0.000 0.500
Y1 0.500 0.500 0.500

Output
magnetic moment	0.0	μB per cell
space-group type	Cmmm
D(E_F)	6.54	states/eV per cell

***

It is w that is the most stable of them.

***

--- w ---
Below is a geometry-optimized AcTb5Y4 structure, with properties calculated at the PBE-GGA level.

a = 3.604 Å, b = 8.850 Å, c = 11.132 Å
α = 89.43°, β = 89.96°, γ = 78.27°
Positions (direct):
Ac1 0.000 0.000 0.000
Tb1 0.000 0.000 0.500
Tb2 0.324 0.353 0.056
Tb3 0.328 0.347 0.453
Tb4 0.672 0.653 0.547
Tb5 0.676 0.647 0.944
Y1 0.151 0.695 0.249
Y2 0.472 0.054 0.257
Y3 0.528 0.946 0.743
Y4 0.849 0.305 0.751

Output
magnetic moment	0.0	μB per cell
space-group type	P-1
D(E_F)	13.87	states/eV per cell

***

--- x ---
Below is a geometry-optimized AcTb5Y4 structure, with properties calculated at the PBE-GGA level.

a = 7.967 Å, b = 7.967 Å, c = 7.967 Å
α = 99.57°, β = 99.57°, γ = 131.87°
Positions (direct):
Ac1 0.000 0.000 0.000
Tb1 0.466 0.466 0.000
Tb2 0.474 0.858 0.908
Tb3 0.567 0.474 0.617
Tb4 0.858 0.950 0.383
Tb5 0.950 0.567 0.092
Y1 0.168 0.871 0.596
Y2 0.276 0.572 0.404
Y3 0.572 0.168 0.296
Y4 0.871 0.276 0.704

Output
magnetic moment	0.0	μB per cell
space-group type	I4
D(E_F)	16.13	states/eV per cell

***

It is w that is the most stable of them.

***

--- w ---
Below is a geometry-optimized AcTbY structure, with properties calculated at the PBE-GGA level.

a = 8.173 Å, b = 8.173 Å, c = 8.173 Å
α = 153.52°, β = 153.52°, γ = 37.80°
Positions (direct):
Ac1 0.000 0.000 0.000
Tb1 0.672 0.672 0.000
Y1 0.327 0.327 0.000

Output
magnetic moment	0.0	μB per cell
space-group type	I4mm
D(E_F)	4.24	states/eV per cell

***

--- x ---
Below is a geometry-optimized AcTbY structure, with properties calculated at the PBE-GGA level.

a = 5.059 Å, b = 5.059 Å, c = 8.939 Å
α = 90.00°, β = 90.00°, γ = 90.00°
Positions (direct):
Ac1 0.250 0.250 0.178
Ac2 0.750 0.750 0.822
Tb1 0.250 0.250 0.775
Tb2 0.750 0.750 0.225
Y1 0.250 0.750 0.500
Y2 0.750 0.250 0.500

Output
magnetic moment	0.0	μB per cell
space-group type	P4/nmm
D(E_F)	10.51	states/eV per cell

***

It is w that is the most stable of them.

***

--- w ---
Below is a geometry-optimized AcTbY structure, with properties calculated at the PBE-GGA level.

a = 12.148 Å, b = 5.898 Å, c = 6.097 Å
α = 90.00°, β = 90.00°, γ = 90.00°
Positions (direct):
Ac1 0.249 0.250 0.004
Ac2 0.251 0.750 0.504
Ac3 0.749 0.250 0.496
Ac4 0.751 0.750 0.996
Tb1 0.067 0.750 0.948
Tb2 0.433 0.250 0.448
Tb3 0.567 0.750 0.552
Tb4 0.933 0.250 0.052
Y1 0.067 0.250 0.554
Y2 0.433 0.750 0.054
Y3 0.567 0.250 0.946
Y4 0.933 0.750 0.446

Output
magnetic moment	0.0	μB per cell
space-group type	Pnma
D(E_F)	21.17	states/eV per cell

***

--- x ---
Below is a geometry-optimized AcTbY structure, with properties calculated at the PBE-GGA level.

a = 5.885 Å, b = 5.885 Å, c = 3.600 Å
α = 90.00°, β = 90.00°, γ = 120.00°
Positions (direct):
Ac1 0.000 0.000 0.000
Tb1 0.667 0.333 0.500
Y1 0.333 0.667 0.000

Output
magnetic moment	0.0	μB per cell
space-group type	P-6m2
D(E_F)	5.20	states/eV per cell

***

It is w that is the most stable of them.

***

--- w ---
Below is a geometry-optimized AcTb3Y7 structure, with properties calculated at the PBE-GGA level.

a = 7.013 Å, b = 5.632 Å, c = 9.977 Å
α = 90.00°, β = 108.18°, γ = 90.00°
Positions (direct):
Ac1 0.000 0.000 0.000
Tb1 0.276 0.500 0.493
Tb2 0.500 0.000 0.000
Tb3 0.724 0.500 0.507
Y1 0.000 0.000 0.500
Y2 0.147 0.500 0.787
Y3 0.331 0.500 0.142
Y4 0.435 0.000 0.332
Y5 0.565 0.000 0.668
Y6 0.669 0.500 0.858
Y7 0.853 0.500 0.213

Output
magnetic moment	0.0	μB per cell
space-group type	P2/m
D(E_F)	18.09	states/eV per cell

***

--- x ---
Below is a geometry-optimized AcTb3Y7 structure, with properties calculated at the PBE-GGA level.

a = 7.154 Å, b = 7.154 Å, c = 8.731 Å
α = 90.00°, β = 90.00°, γ = 120.00°
Positions (direct):
Ac1 0.000 0.000 0.000
Tb1 0.168 0.337 0.338
Tb2 0.168 0.832 0.338
Tb3 0.663 0.832 0.338
Y1 0.002 0.501 0.999
Y2 0.333 0.167 0.665
Y3 0.333 0.667 0.667
Y4 0.499 0.501 0.999
Y5 0.499 0.998 0.999
Y6 0.833 0.167 0.665
Y7 0.833 0.667 0.665

Output
magnetic moment	0.0	μB per cell
space-group type	P3m1
D(E_F)	18.71	states/eV per cell

***

It is w that is the most stable of them.